one:
A plane-wave DFT calculation with PBE-GGA was carried out for an optimized crystal structure of RbV3Re.

The structure in POSCAR format:
```
RbV3Re
1.0
4.406 0.000 0.000
0.000 4.406 0.000
0.000 0.000 4.406
Rb V Re
1 3 1
Direct
0.000 0.000 0.000
0.000 0.000 0.500
0.000 0.500 0.000
0.500 0.000 0.000
0.500 0.500 0.500
```

Output
Calculated volume = 17.11 A^3/atom
Total moment = 0.0 μB per cell
Space-group type = No. 221

---

two:
A plane-wave DFT calculation with PBE-GGA was carried out for an optimized crystal structure of RbV3Re.

The structure in POSCAR format:
```
RbV3Re
1.0
4.938 0.000 0.000
0.000 4.938 0.000
0.000 0.000 4.938
Rb V Re
1 3 1
Direct
0.000 0.000 0.000
0.000 0.500 0.500
0.500 0.000 0.500
0.500 0.500 0.000
0.500 0.500 0.500
```

Output
Calculated volume = 24.08 A^3/atom
Total moment = 7.1 μB per cell
Space-group type = No. 221

---

According to the calculations, the structures order from most to least stable as two, one.

---

one:
A plane-wave DFT calculation with PBE-GGA was carried out for an optimized crystal structure of RbRe2W.

The structure in POSCAR format:
```
RbRe2W
1.0
0.000 3.287 3.287
3.287 0.000 3.287
3.287 3.287 0.000
Rb Re W
1 2 1
Direct
0.000 0.000 0.000
0.250 0.250 0.250
0.750 0.750 0.750
0.500 0.500 0.500
```

Output
Calculated volume = 17.75 A^3/atom
Total moment = 0.0 μB per cell
Space-group type = No. 225

---

two:
A plane-wave DFT calculation with PBE-GGA was carried out for an optimized crystal structure of RbRe2W.

The structure in POSCAR format:
```
RbRe2W
1.0
-2.550 2.550 8.650
2.550 -2.550 8.650
2.550 2.550 -8.650
Rb Re W
2 4 2
Direct
0.375 0.625 0.750
0.625 0.375 0.250
0.000 0.000 0.000
0.000 0.000 0.500
0.000 0.500 0.000
0.500 0.000 0.500
0.125 0.875 0.250
0.875 0.125 0.750
```

Output
Calculated volume = 28.12 A^3/atom
Total moment = 0.0 μB per cell
Space-group type = No. 141

---

According to the calculations, the structures order from most to least stable as one, two.

---

one:
A plane-wave DFT calculation with PBE-GGA was carried out for an optimized crystal structure of RbYRe2.

The structure in POSCAR format:
```
RbYRe2
1.0
-2.360 2.360 10.333
2.360 -2.360 10.333
2.360 2.360 -10.333
Rb Y Re
2 2 4
Direct
0.000 0.000 0.000
0.750 0.250 0.500
0.250 0.750 0.500
0.500 0.500 0.000
0.298 0.125 0.673
0.375 0.702 0.827
0.452 0.625 0.327
0.875 0.548 0.173
```

Output
Calculated volume = 28.77 A^3/atom
Total moment = 0.0 μB per cell
Space-group type = No. 122

---

two:
A plane-wave DFT calculation with PBE-GGA was carried out for an optimized crystal structure of RbYRe2.

The structure in POSCAR format:
```
RbYRe2
1.0
0.000 3.567 3.567
3.567 0.000 3.567
3.567 3.567 0.000
Rb Y Re
1 1 2
Direct
0.000 0.000 0.000
0.500 0.500 0.500
0.250 0.250 0.250
0.750 0.750 0.750
```

Output
Calculated volume = 22.68 A^3/atom
Total moment = 3.2 μB per cell
Space-group type = No. 225

---

According to the calculations, the structures order from most to least stable as one, two.

---

one:
A plane-wave DFT calculation with PBE-GGA was carried out for an optimized crystal structure of Rb2YRe.

The structure in POSCAR format:
```
Rb2YRe
1.0
0.000 4.136 4.136
4.136 0.000 4.136
4.136 4.136 0.000
Rb Y Re
2 1 1
Direct
0.250 0.250 0.250
0.750 0.750 0.750
0.000 0.000 0.000
0.500 0.500 0.500
```

Output
Calculated volume = 35.38 A^3/atom
Total moment = 2.0 μB per cell
Space-group type = No. 225

---

two:
A plane-wave DFT calculation with PBE-GGA was carried out for an optimized crystal structure of Rb2YRe.

The structure in POSCAR format:
```
Rb2YRe
1.0
-2.217 2.217 13.440
2.217 -2.217 13.440
2.217 2.217 -13.440
Rb Y Re
4 2 2
Direct
0.118 0.625 0.993
0.375 0.368 0.493
0.632 0.125 0.007
0.875 0.882 0.507
0.250 0.750 0.500
0.500 0.500 0.000
0.000 0.000 0.000
0.750 0.250 0.500
```

Output
Calculated volume = 33.02 A^3/atom
Total moment = 4.1 μB per cell
Space-group type = No. 122

---

According to the calculations, the structures order from most to least stable as two, one.

---

one:
A plane-wave DFT calculation with PBE-GGA was carried out for an optimized crystal structure of RbY2Re.

The structure in POSCAR format:
```
RbY2Re
1.0
-4.151 4.151 5.895
4.151 -4.151 5.895
4.151 4.151 -5.895
Rb Y Re
2 4 2
Direct
0.375 0.625 0.750
0.625 0.375 0.250
0.000 0.000 0.000
0.000 0.000 0.500
0.000 0.500 0.000
0.500 0.000 0.500
0.125 0.875 0.250
0.875 0.125 0.750
```

Output
Calculated volume = 50.78 A^3/atom
Total moment = 0.0 μB per cell
Space-group type = No. 141

---

two:
A plane-wave DFT calculation with PBE-GGA was carried out for an optimized crystal structure of RbY2Re.

The structure in POSCAR format:
```
RbY2Re
1.0
0.000 3.723 3.723
3.723 0.000 3.723
3.723 3.723 0.000
Rb Y Re
1 2 1
Direct
0.000 0.000 0.000
0.250 0.250 0.250
0.750 0.750 0.750
0.500 0.500 0.500
```

Output
Calculated volume = 25.80 A^3/atom
Total moment = 0.0 μB per cell
Space-group type = No. 225

---

According to the calculations, the structures order from most to least stable as two, one.

---

one:
A plane-wave DFT calculation with PBE-GGA was carried out for an optimized crystal structure of RbZn3Re.

The structure in POSCAR format:
```
RbZn3Re
1.0
5.020 0.000 0.000
0.000 5.020 0.000
0.000 0.000 5.020
Rb Zn Re
1 3 1
Direct
0.000 0.000 0.000
0.000 0.500 0.500
0.500 0.000 0.500
0.500 0.500 0.000
0.500 0.500 0.500
```

Output
Calculated volume = 25.30 A^3/atom
Total moment = 0.0 μB per cell
Space-group type = No. 221

---

two:
A plane-wave DFT calculation with PBE-GGA was carried out for an optimized crystal structure of RbZn3Re.

The structure in POSCAR format:
```
RbZn3Re
1.0
6.294 0.000 0.000
0.000 6.294 0.000
0.000 0.000 6.294
Rb Zn Re
1 3 1
Direct
0.000 0.000 0.000
0.000 0.000 0.500
0.000 0.500 0.000
0.500 0.000 0.000
0.500 0.500 0.500
```

Output
Calculated volume = 49.86 A^3/atom
Total moment = 4.3 μB per cell
Space-group type = No. 221

---

According to the calculations, the structures order from most to least stable as one, two.